A plane-wave DFT calculation with PBE was carried out for an optimized crystal structure of YTi2CuBi.

The total magnetization comes out at 0.227 μB per atom. For the formation energy, the calculation gives 0.176 eV/atom.

The space group is P4/mmm (No. 123) and the conventional cell measures 4.7289, 4.7289 and 5.2407 Å, with angles of 90.00, 90.00 and 90.00 degrees. The inequivalent atoms are Y at (0.0000, 0.0000, 0.0000), Ti at (0.0000, 0.5000, 0.5000), Cu at (0.0000, 0.0000, 0.5000) and Bi at (0.5000, 0.5000, 0.0000).